# 1
Compound: MgIrRu
Source: Alexandria
Functional: PBE-GGA
Structure: optimized geometry

DFT total energy (eV per atom): -6.547
Relative energy among the computed polymorphs (eV/atom): 0.1482
Symmetry: P3m1 (156)
ΔE_f (eV per atom): 0.03

Cell: 2.785 2.785 6.761 Å, 90.00 90.00 120.00°
Fractional coordinates of all 3 atoms:
Ir1 0.000 0.000 0.991
Mg1 0.667 0.333 0.333
Ru1 0.333 0.667 0.676


# 2
Compound: SrMo3As
Source: Alexandria
Functional: PBE-GGA
Structure: optimized geometry

DFT total energy (eV per atom): -4.707
Relative energy among the computed polymorphs (eV/atom): 2.0681
Symmetry: Pm-3m (221)
ΔE_f (eV per atom): 3.06

Cell: 4.820 4.820 4.820 Å, 90.00 90.00 90.00°
Fractional coordinates of all 5 atoms:
Sr1 0.000 0.000 0.000
Mo1 0.000 0.500 0.000
Mo2 0.000 0.000 0.500
Mo3 0.500 0.000 0.000
As1 0.500 0.500 0.500


# 3
Compound: CeHo2Ge
Source: Alexandria
Functional: PBE-GGA
Structure: optimized geometry

DFT total energy (eV per atom): -5.251
Relative energy among the computed polymorphs (eV/atom): 0.0000
Symmetry: P4/mmm (123)
ΔE_f (eV per atom): -0.32

Cell: 4.474 4.710 4.710 Å, 90.00 90.00 90.00°
Fractional coordinates of all 4 atoms:
Ge1 0.500 0.000 0.000
Ho1 0.000 0.000 0.500
Ho2 0.000 0.500 0.000
Ce1 0.500 0.500 0.500


# 4
Compound: Sm2Ga3Au2
Source: Alexandria
Functional: PBE-GGA
Structure: optimized geometry

DFT total energy (eV per atom): -4.256
Relative energy among the computed polymorphs (eV/atom): 0.0000
Symmetry: Cmcm (63)
ΔE_f (eV per atom): -0.67

Cell: 4.319 7.335 9.717 Å, 90.00 102.84 90.00°
Fractional coordinates of all 14 atoms:
Sm1 0.157 0.250 0.313
Sm2 0.843 0.750 0.687
Sm3 0.943 0.250 0.885
Sm4 0.057 0.750 0.115
Ga1 0.226 0.750 0.453
Ga2 0.774 0.250 0.547
Ga3 0.556 0.421 0.113
Ga4 0.444 0.579 0.887
Ga5 0.444 0.921 0.887
Ga6 0.556 0.079 0.113
Au1 0.684 0.948 0.369
Au2 0.316 0.052 0.631
Au3 0.316 0.448 0.631
Au4 0.684 0.552 0.369


# 5
Compound: PrTlPd2
Source: Alexandria
Functional: PBE-GGA
Structure: optimized geometry

DFT total energy (eV per atom): -4.967
Symmetry: R-3m (166)
ΔE_f (eV per atom): -0.58

Cell: 4.783 4.783 5.271 Å, 63.02 63.02 60.00°
Fractional coordinates of all 4 atoms:
Pr1 0.000 0.000 0.000
Tl1 0.500 0.500 0.500
Pd1 0.777 0.777 0.670
Pd2 0.223 0.223 0.330


# 6
Compound: ThTl2
Source: Alexandria
Functional: PBE-GGA
Structure: optimized geometry

DFT total energy (eV per atom): -3.990
Symmetry: Fd-3m (227)
ΔE_f (eV per atom): 0.06

Cell: 6.234 6.234 6.234 Å, 60.00 60.00 60.00°
Each line ends with the local moment (μB).
Fractional coordinates of all 6 atoms:
Tl1 0.125 0.625 0.625  -0.01
Tl2 0.625 0.125 0.625  -0.01
Tl3 0.625 0.625 0.625  -0.01
Tl4 0.625 0.625 0.125  -0.01
Th1 0.000 0.000 0.000  0.19
Th2 0.250 0.250 0.250  0.19


# 7
Compound: Cu3ClF7
Source: Alexandria
Functional: PBE-GGA
Structure: optimized geometry

DFT total energy (eV per atom): -3.717
Uncorrected formation energy (eV/atom): -1.241
Symmetry: P3m1 (156)

Cell: 5.208 6.198 6.198 Å, 120.00 90.00 90.00°
Each line ends with the local moment (μB).
Fractional coordinates of all 11 atoms:
Cu1 0.792 0.501 0.499  0.93
Cu2 0.792 0.501 0.002  0.93
Cu3 0.792 0.998 0.499  0.93
Cl1 0.485 0.333 0.667  0.41
F1 0.971 0.187 0.813  0.23
F2 0.971 0.187 0.374  0.23
F3 0.004 0.667 0.333  0.20
F4 0.613 0.814 0.186  0.25
F5 0.613 0.371 0.186  0.25
F6 0.613 0.814 0.629  0.25
F7 0.971 0.626 0.813  0.23


# 8
Compound: V5Si5Rh
Source: Alexandria
Functional: PBE-GGA
Structure: optimized geometry

DFT total energy (eV per atom): -7.299
Uncorrected formation energy (eV/atom): -0.021
Symmetry: C2/m (12)

Cell: 4.787 5.203 7.934 Å, 112.72 90.00 117.39°
Each line ends with the local moment (μB).
Fractional coordinates of all 11 atoms:
V1 0.684 0.368 0.360  -0.02
V2 0.618 0.236 0.736  0.12
V3 0.000 0.000 0.500  -0.04
V4 0.382 0.764 0.264  0.12
V5 0.316 0.632 0.640  -0.02
Si1 0.794 0.589 0.120  0.00
Si2 0.862 0.725 0.684  0.00
Si3 0.500 0.000 0.000  0.00
Si4 0.138 0.275 0.316  0.00
Si5 0.206 0.411 0.880  0.00
Rh1 0.000 0.000 0.000  0.00